No. 1
Material: In3Sn3Au4
Method: DFT, GGA-PBE
State: relaxed

Computed properties:
Formation energy from the elements in kJ per mole of atoms: -18.94
Total moment in μB/cell: 0.000

Unit cell a=4.6107 b=4.6107 c=13.3613 alpha=90.00 beta=90.00 gamma=120.00
Closest atoms and distances in Å follow each position.
Sites, in units of the cell vectors:
In 0.0000 0.0000 0.4300  4 Au 2.84-2.86
Sn 0.3333 0.6667 0.7470  6 Au 3.00-3.04
Au 0.0000 0.0000 0.6441  4 In 2.83-2.86, 1 Au 2.85, 3 Sn 3.00
In 0.6667 0.3333 0.5723  4 Au 2.83-2.88
In 0.6667 0.3333 0.9241  4 Au 2.81-2.91
Sn 0.3333 0.6667 0.2555  6 Au 2.99-3.07
Au 0.6667 0.3333 0.1415  6 Sn 2.82-3.07, 1 Au 2.88, 1 In 2.91
Sn 0.0000 0.0000 0.0712  4 Au 2.82-2.86
Au 0.6667 0.3333 0.3570  4 In 2.84-2.88, 1 Au 2.88, 3 Sn 2.99
Au 0.0000 0.0000 0.8574  3 In 2.81, 1 Au 2.85, 4 Sn 2.86-3.04


No. 2
Material: InSn2Au2
Method: DFT, GGA-PBE
State: relaxed

Computed properties:
Formation energy from the elements in kJ per mole of atoms: -7.89
Total moment in μB/cell: 0.000
Energy above the lowest structure with this stoichiometry in meV per atom: 58

Unit cell a=7.5802 b=7.5802 c=4.1140 alpha=90.00 beta=90.00 gamma=90.00
Closest atoms and distances in Å follow each position.
Sites, in units of the cell vectors:
In 0.0000 0.0000 0.0000  4 Au 2.95
Sn 0.6666 0.8334 0.5000  6 Au 2.95-3.09
Au 0.1360 0.3640 0.0000  1 Au 2.92, 2 In 2.95, 6 Sn 2.95-3.09
Au 0.8640 0.6360 0.0000  1 Au 2.92, 2 In 2.95, 6 Sn 2.95-3.09
Au 0.6360 0.1360 0.0000  1 Au 2.92, 2 In 2.95, 6 Sn 2.95-3.09
Sn 0.3334 0.1666 0.5000  6 Au 2.95-3.09
In 0.5000 0.5000 0.0000  4 Au 2.95
Sn 0.1666 0.6666 0.5000  6 Au 2.95-3.09
Sn 0.8334 0.3334 0.5000  6 Au 2.95-3.09
Au 0.3640 0.8640 0.0000  1 Au 2.92, 2 In 2.95, 6 Sn 2.95-3.09


No. 3
Material: In3SnAu3
Method: DFT, GGA-PBE
State: relaxed

Computed properties:
Formation energy from the elements in kJ per mole of atoms: 21.76
Total moment in μB/cell: 0.000
Energy above the lowest structure with this stoichiometry in meV per atom: 361

Unit cell a=7.6182 b=7.6182 c=7.6182 alpha=90.00 beta=90.00 gamma=90.00
Closest atoms and distances in Å follow each position.
Sites, in units of the cell vectors:
In 0.7500 0.0000 0.5000  4 Au 2.69
In 0.5000 0.2500 0.0000  4 Au 2.69
In 0.2500 0.0000 0.5000  4 Au 2.69
Au 0.5000 0.0000 0.7500  4 In 2.69
Au 0.2500 0.5000 0.0000  4 In 2.69
Sn 0.5000 0.5000 0.5000  12 Au 4.26, 12 In 4.26
Au 0.5000 0.0000 0.2500  4 In 2.69
Au 0.7500 0.5000 0.0000  4 In 2.69
In 0.5000 0.7500 0.0000  4 Au 2.69
In 0.0000 0.5000 0.7500  4 Au 2.69
Au 0.0000 0.2500 0.5000  4 In 2.69
Sn 0.0000 0.0000 0.0000  12 In 4.26, 12 Au 4.26
In 0.0000 0.5000 0.2500  4 Au 2.69
Au 0.0000 0.7500 0.5000  4 In 2.69


No. 4
Material: In2Sn2Au
Method: DFT, GGA-PBE
State: relaxed

Computed properties:
Formation energy from the elements in kJ per mole of atoms: -3.32
Total moment in μB/cell: 0.000
Energy above the lowest structure with this stoichiometry in meV per atom: 0

Unit cell a=4.6599 b=4.6599 c=12.5558 alpha=100.69 beta=100.69 gamma=90.00
Closest atoms and distances in Å follow each position.
Sites, in units of the cell vectors:
Au 0.7500 0.2500 0.5000  4 Sn 2.92, 4 In 2.96
In 0.0754 0.5754 0.1508  2 Au 2.96, 4 Sn 3.30
Sn 0.5726 0.0726 0.1452  2 Au 2.92
Sn 0.6774 0.6774 0.3548  2 Au 2.92
In 0.8254 0.8254 0.6508  2 Au 2.96, 4 Sn 3.30
In 0.4246 0.9246 0.8492  2 Au 2.96, 4 Sn 3.30
Sn 0.9274 0.4274 0.8548  2 Au 2.92
Sn 0.3226 0.3226 0.6452  2 Au 2.92
In 0.1746 0.1746 0.3492  2 Au 2.96, 4 Sn 3.30
Au 0.5000 0.5000 0.0000  4 Sn 2.92, 4 In 2.96


No. 5
Material: In2Sn2Au3
Method: DFT, GGA-PBE
State: relaxed

Computed properties:
Formation energy from the elements in kJ per mole of atoms: -12.61
Total moment in μB/cell: 0.000
Energy above the lowest structure with this stoichiometry in meV per atom: 17

Unit cell a=3.7674 b=6.5181 c=7.2108 alpha=91.30 beta=105.14 gamma=90.00
Closest atoms and distances in Å follow each position.
Sites, in units of the cell vectors:
Sn 0.0937 0.6207 0.1873  4 Au 2.82-3.01, 1 Sn 3.01
Au 0.0000 0.0000 0.0000  2 Sn 2.82, 4 In 2.84
Au 0.7452 0.6799 0.4904  3 Sn 2.85-3.01, 3 In 2.85-2.93, 2 Au 3.01
Sn 0.9063 0.3793 0.8127  4 Au 2.82-3.01, 1 Sn 3.01
In 0.3505 0.9238 0.7011  5 Au 2.84-2.93
In 0.6495 0.0762 0.2989  5 Au 2.84-2.93
Au 0.2548 0.3201 0.5096  3 Sn 2.85-3.01, 3 In 2.85-2.93, 2 Au 3.01


No. 6
Material: In2Sn2Au3
Method: DFT, GGA-PBE
State: relaxed

Computed properties:
Formation energy from the elements in kJ per mole of atoms: -14.26
Total moment in μB/cell: 0.000
Energy above the lowest structure with this stoichiometry in meV per atom: 0

Unit cell a=4.3273 b=6.7848 c=7.1731 alpha=119.36 beta=107.56 gamma=90.00
Closest atoms and distances in Å follow each position.
Sites, in units of the cell vectors:
Au 0.0000 0.5000 0.0000  4 Sn 2.84, 2 In 2.88, 2 Au 2.94
Au 0.7499 0.2701 0.4997  3 Sn 2.77-2.93, 3 In 2.82-2.91, 1 Au 2.94
Au 0.2501 0.7299 0.5003  3 Sn 2.77-2.93, 3 In 2.82-2.91, 1 Au 2.94
In 0.8914 0.7687 0.7829  4 Au 2.82-2.91, 1 In 3.01
Sn 0.3754 0.2065 0.7509  5 Au 2.77-2.93
In 0.1086 0.2313 0.2171  4 Au 2.82-2.91, 1 In 3.01
Sn 0.6246 0.7935 0.2491  5 Au 2.77-2.93


What is the formula in the second record?
InSn2Au2